VASP calculation (PBE) on crystalline LiLuAu2 at its relaxed geometry.

Cell lengths 3.5423, 4.7017, 4.7017 Å; angles 90.00, 90.00, 90.00 degrees
Fractional coordinates of all 4 atoms:
Lu 0.5000 0.5000 0.5000
Au 0.0000 0.5000 0.0000
Li 0.5000 0.0000 0.0000
Au 0.0000 0.0000 0.5000

Values from the calculation:
Distance to the lowest polymorph of the same formula = 46 meV per atom
SG = P4/mmm (123)

VASP calculation (PBE) on crystalline LiLuAu2 at its relaxed geometry.

Cell lengths 3.4789, 3.4789, 6.2762 Å; angles 90.00, 90.00, 90.00 degrees
Fractional coordinates of all 4 atoms:
Li 0.5000 0.5000 0.0000
Au 0.0000 0.0000 0.2299
Lu 0.5000 0.5000 0.5000
Au 0.0000 0.0000 0.7701

Values from the calculation:
Distance to the lowest polymorph of the same formula = 2 meV per atom
SG = P4/mmm (123)

VASP calculation (PBE) on crystalline Li4LuAu at its relaxed geometry.

Cell lengths 5.2332, 5.2332, 5.2332 Å; angles 60.00, 60.00, 60.00 degrees
Fractional coordinates of all 6 atoms:
Au 0.0000 0.0000 0.0000
Lu 0.2500 0.2500 0.2500
Li 0.6279 0.6279 0.6279
Li 0.1163 0.6279 0.6279
Li 0.6279 0.1163 0.6279
Li 0.6279 0.6279 0.1163

Values from the calculation:
SG = F-43m (216)

VASP calculation (PBE) on crystalline LiLuAu2 at its relaxed geometry.

Cell lengths 4.7765, 4.7765, 4.7765 Å; angles 60.00, 60.00, 60.00 degrees
Fractional coordinates of all 4 atoms:
Au 0.7500 0.7500 0.7500
Lu 0.0000 0.0000 0.0000
Li 0.5000 0.5000 0.5000
Au 0.2500 0.2500 0.2500

Values from the calculation:
Distance to the lowest polymorph of the same formula = 0 meV per atom
SG = Fm-3m (225)

no.,formation energy (meV per atom)
1,-684
2,-729
3,-132
4,-731